# Tl5Zn PBE optimized geometry
# Energy of formation from the pure elements ... 0.09 eV per atom
# DFT total energy ... -2.099 eV per atom
# Polymorph energy (0 for the lowest one) ... 0.021 eV per atom
# Theoretical density ... 10.2 g/cm3
data_Tl5Zn
_symmetry_space_group_name_H-M 'P 1'
_symmetry_Int_Tables_number 1
_symmetry_space_group_name_Hall 'P 1'
_cell_length_a 9.304
_cell_length_b 9.304
_cell_length_c 5.321
_cell_angle_alpha 90.00
_cell_angle_beta 90.00
_cell_angle_gamma 157.40
loop_
_atom_site_label
_atom_site_type_symbol
_atom_site_fract_x
_atom_site_fract_y
_atom_site_fract_z
Tl1 Tl 0.776 0.224 0.500
Tl2 Tl 0.311 0.689 0.000
Tl3 Tl 0.502 0.498 0.500
Tl4 Tl 0.639 0.361 0.000
Zn1 Zn 0.139 0.861 0.500
Tl5 Tl 0.967 0.033 0.000

***

# NaPuGa2 PBE optimized geometry
# Energy of formation from the pure elements ... -0.14 eV per atom
# DFT total energy ... -5.561 eV per atom
# Polymorph energy (0 for the lowest one) ... 0.000 eV per atom
# Theoretical density ... 7.7 g/cm3
data_NaPuGa2
_symmetry_space_group_name_H-M 'P 1'
_symmetry_Int_Tables_number 1
_symmetry_space_group_name_Hall 'P 1'
_cell_length_a 2.952
_cell_length_b 5.451
_cell_length_c 5.451
_cell_angle_alpha 90.00
_cell_angle_beta 90.00
_cell_angle_gamma 90.00
loop_
_atom_site_label
_atom_site_type_symbol
_atom_site_fract_x
_atom_site_fract_y
_atom_site_fract_z
Ga1 Ga 0.000 0.000 0.500
Na1 Na 0.500 0.500 0.500
Ga2 Ga 0.000 0.500 0.000
Pu1 Pu 0.500 0.000 0.000

***

# BeAsP2 PBE optimized geometry
# Energy of formation from the pure elements ... 0.69 eV per atom
# DFT total energy ... -4.106 eV per atom
# Polymorph energy (0 for the lowest one) ... 0.679 eV per atom
# Theoretical density ... 4.1 g/cm3
data_BeAsP2
_symmetry_space_group_name_H-M 'P 1'
_symmetry_Int_Tables_number 1
_symmetry_space_group_name_Hall 'P 1'
_cell_length_a 4.361
_cell_length_b 4.361
_cell_length_c 4.361
_cell_angle_alpha 60.00
_cell_angle_beta 60.00
_cell_angle_gamma 60.00
loop_
_atom_site_label
_atom_site_type_symbol
_atom_site_fract_x
_atom_site_fract_y
_atom_site_fract_z
P1 P 0.750 0.750 0.750
Be1 Be 0.000 0.000 0.000
P2 P 0.250 0.250 0.250
As1 As 0.500 0.500 0.500

***

# Pa6SnSe12 PBE optimized geometry
# Energy relative to the elements, uncorrected ... -1.170 eV/atom
# DFT total energy ... -6.580 eV per atom
# Theoretical density ... 7.5 g/cm3
data_Pa6SnSe12
_symmetry_space_group_name_H-M 'P 1'
_symmetry_Int_Tables_number 1
_symmetry_space_group_name_Hall 'P 1'
_cell_length_a 8.336
_cell_length_b 8.336
_cell_length_c 8.336
_cell_angle_alpha 100.96
_cell_angle_beta 100.96
_cell_angle_gamma 100.96
loop_
_atom_site_label
_atom_site_type_symbol
_atom_site_fract_x
_atom_site_fract_y
_atom_site_fract_z
Se1 Se 0.056 0.672 0.941
Se2 Se 0.328 0.059 0.944
Se3 Se 0.672 0.941 0.056
Se4 Se 0.435 0.824 0.578
Se5 Se 0.565 0.176 0.422
Se6 Se 0.059 0.944 0.328
Pa1 Pa 0.692 0.866 0.375
Se7 Se 0.941 0.056 0.672
Se8 Se 0.944 0.328 0.059
Pa2 Pa 0.308 0.134 0.625
Sn1 Sn 0.000 0.000 0.000
Se9 Se 0.176 0.422 0.565
Pa3 Pa 0.625 0.308 0.134
Pa4 Pa 0.134 0.625 0.308
Pa5 Pa 0.866 0.375 0.692
Se10 Se 0.578 0.435 0.824
Se11 Se 0.824 0.578 0.435
Pa6 Pa 0.375 0.692 0.866
Se12 Se 0.422 0.565 0.176